(1)
Computed, not measured: an optimized crystal structure of GaAs2Se2 at the PBE level of DFT.

Its energy relative to the elements, uncorrected is 59 meV per atom.

Structure (extended XYZ):
```
10
Lattice="8.0351 0.0000 0.0000 0.0000 8.0351 0.0000 0.0000 0.0000 3.6751" Properties=species:S:1:pos:R:3 pbc="T T T"
Ga 0.0000 0.0000 0.0000
Ga 4.0176 4.0176 0.0000
As 1.6148 2.4027 0.0000
As 2.4027 6.4203 0.0000
As 5.6324 1.6148 0.0000
As 6.4203 5.6324 0.0000
Se 1.2195 5.2371 1.8376
Se 2.7980 1.2195 1.8376
Se 5.2371 6.8156 1.8376
Se 6.8156 2.7980 1.8376
```

***

(2)
Computed, not measured: an optimized crystal structure of MgBe2Ag2 at the PBE level of DFT.

The polymorph energy (0 for the lowest one) comes out at 87 meV/atom. The calculation puts the formation energy at 0.136 eV/atom.

Structure (extended XYZ):
```
5
Lattice="-1.6565 1.6565 6.7723 1.6565 -1.6565 6.7723 1.6565 1.6565 -6.7723" Properties=species:S:1:pos:R:3 pbc="T T T"
Mg 0.0000 0.0000 0.0000
Be 1.6565 0.0000 3.3862
Be 0.0000 1.6565 3.3862
Ag 0.0000 0.0000 5.2092
Ag 0.0000 0.0000 8.3354
```

***

In eV per atom, the electronic total energy values for the records above are, in order, -3.80; -2.81.
In Bohr magnetons per cell, the spin magnetization values for the records above are, in order, 0.000; 0.000.